DFT (GGA-PBE) results for an optimized crystal structure of Pr2CdS.

Lattice parameters (Å, degrees): 8.1721 8.1721 8.1721 29.06 29.06 29.06
Closest atoms and distances in Å follow each position.
Element x y z (fractional)
Pr: 0.2365 0.2365 0.2365  3 S 2.88
Pr: 0.7635 0.7635 0.7635  3 S 2.88
Cd: 0.0000 0.0000 0.0000  6 Pr 3.28
S: 0.5000 0.5000 0.5000  6 Pr 2.88

distance to the lowest polymorph of the same formula: 0 meV/atom
raw formation energy: -1.095 eV per atom
spin magnetization: 0.000 μB/atom

---

DFT (GGA-PBE) results for an optimized crystal structure of Dy5Ga2Hg.

Lattice parameters (Å, degrees): 9.1148 9.1148 9.1148 130.89 130.89 71.99
Closest atoms and distances in Å follow each position.
Element x y z (fractional)
Dy: 0.0000 0.0000 0.0000  4 Ga 3.01
Dy: 0.0256 0.5256 0.8413  3 Ga 3.09-3.10, 2 Hg 3.21
Dy: 0.1843 0.0256 0.5000  3 Ga 3.09-3.10, 2 Hg 3.21
Dy: 0.3157 0.8157 0.8413  3 Ga 3.09-3.10, 2 Hg 3.21
Dy: 0.4744 0.3157 0.5000  3 Ga 3.09-3.10, 2 Hg 3.21
Dy: 0.5000 0.5000 0.0000  4 Ga 3.01
Dy: 0.5256 0.6843 0.5000  3 Ga 3.09-3.10, 2 Hg 3.21
Dy: 0.6843 0.1843 0.1587  3 Ga 3.09-3.10, 2 Hg 3.21
Dy: 0.8157 0.9744 0.5000  3 Ga 3.09-3.10, 2 Hg 3.21
Dy: 0.9744 0.4744 0.1587  3 Ga 3.09-3.10, 2 Hg 3.21
Ga: 0.1216 0.3784 0.5000  1 Ga 2.61
Ga: 0.3784 0.8784 0.2568  1 Ga 2.61
Ga: 0.6216 0.1216 0.7432  1 Ga 2.61
Ga: 0.8784 0.6216 0.5000  1 Ga 2.61
Hg: 0.2500 0.2500 0.0000  8 Dy 3.21
Hg: 0.7500 0.7500 0.0000  8 Dy 3.21

DFT formation energy: -460 meV/atom
spin magnetization: 0.000 μB/atom

---

DFT (GGA-PBE) results for an optimized crystal structure of Nd2FeSn.

Lattice parameters (Å, degrees): 10.5483 10.5483 10.5483 18.94 18.94 18.94
Closest atoms and distances in Å follow each position.
Element x y z (fractional)
Nd: 0.0813 0.0813 0.0813  1 Fe 2.53
Nd: 0.9187 0.9187 0.9187  1 Fe 2.53
Fe: 0.0000 0.0000 0.0000  2 Nd 2.53
Sn: 0.5000 0.5000 0.5000  6 Nd 3.32, 6 Sn 3.47

DFT formation energy: 406 meV/atom
spin magnetization: 0.336 μB/atom

---

Copy entry 2 word for word.
DFT (GGA-PBE) results for an optimized crystal structure of Dy5Ga2Hg.

Lattice parameters (Å, degrees): 9.1148 9.1148 9.1148 130.89 130.89 71.99
Closest atoms and distances in Å follow each position.
Element x y z (fractional)
Dy: 0.0000 0.0000 0.0000  4 Ga 3.01
Dy: 0.0256 0.5256 0.8413  3 Ga 3.09-3.10, 2 Hg 3.21
Dy: 0.1843 0.0256 0.5000  3 Ga 3.09-3.10, 2 Hg 3.21
Dy: 0.3157 0.8157 0.8413  3 Ga 3.09-3.10, 2 Hg 3.21
Dy: 0.4744 0.3157 0.5000  3 Ga 3.09-3.10, 2 Hg 3.21
Dy: 0.5000 0.5000 0.0000  4 Ga 3.01
Dy: 0.5256 0.6843 0.5000  3 Ga 3.09-3.10, 2 Hg 3.21
Dy: 0.6843 0.1843 0.1587  3 Ga 3.09-3.10, 2 Hg 3.21
Dy: 0.8157 0.9744 0.5000  3 Ga 3.09-3.10, 2 Hg 3.21
Dy: 0.9744 0.4744 0.1587  3 Ga 3.09-3.10, 2 Hg 3.21
Ga: 0.1216 0.3784 0.5000  1 Ga 2.61
Ga: 0.3784 0.8784 0.2568  1 Ga 2.61
Ga: 0.6216 0.1216 0.7432  1 Ga 2.61
Ga: 0.8784 0.6216 0.5000  1 Ga 2.61
Hg: 0.2500 0.2500 0.0000  8 Dy 3.21
Hg: 0.7500 0.7500 0.0000  8 Dy 3.21

DFT formation energy: -460 meV/atom
spin magnetization: 0.000 μB/atom

---

Copy entry 3 word for word.
DFT (GGA-PBE) results for an optimized crystal structure of Nd2FeSn.

Lattice parameters (Å, degrees): 10.5483 10.5483 10.5483 18.94 18.94 18.94
Closest atoms and distances in Å follow each position.
Element x y z (fractional)
Nd: 0.0813 0.0813 0.0813  1 Fe 2.53
Nd: 0.9187 0.9187 0.9187  1 Fe 2.53
Fe: 0.0000 0.0000 0.0000  2 Nd 2.53
Sn: 0.5000 0.5000 0.5000  6 Nd 3.32, 6 Sn 3.47

DFT formation energy: 406 meV/atom
spin magnetization: 0.336 μB/atom

---

What did the second record say?
DFT (GGA-PBE) results for an optimized crystal structure of Dy5Ga2Hg.

Lattice parameters (Å, degrees): 9.1148 9.1148 9.1148 130.89 130.89 71.99
Closest atoms and distances in Å follow each position.
Element x y z (fractional)
Dy: 0.0000 0.0000 0.0000  4 Ga 3.01
Dy: 0.0256 0.5256 0.8413  3 Ga 3.09-3.10, 2 Hg 3.21
Dy: 0.1843 0.0256 0.5000  3 Ga 3.09-3.10, 2 Hg 3.21
Dy: 0.3157 0.8157 0.8413  3 Ga 3.09-3.10, 2 Hg 3.21
Dy: 0.4744 0.3157 0.5000  3 Ga 3.09-3.10, 2 Hg 3.21
Dy: 0.5000 0.5000 0.0000  4 Ga 3.01
Dy: 0.5256 0.6843 0.5000  3 Ga 3.09-3.10, 2 Hg 3.21
Dy: 0.6843 0.1843 0.1587  3 Ga 3.09-3.10, 2 Hg 3.21
Dy: 0.8157 0.9744 0.5000  3 Ga 3.09-3.10, 2 Hg 3.21
Dy: 0.9744 0.4744 0.1587  3 Ga 3.09-3.10, 2 Hg 3.21
Ga: 0.1216 0.3784 0.5000  1 Ga 2.61
Ga: 0.3784 0.8784 0.2568  1 Ga 2.61
Ga: 0.6216 0.1216 0.7432  1 Ga 2.61
Ga: 0.8784 0.6216 0.5000  1 Ga 2.61
Hg: 0.2500 0.2500 0.0000  8 Dy 3.21
Hg: 0.7500 0.7500 0.0000  8 Dy 3.21

DFT formation energy: -460 meV/atom
spin magnetization: 0.000 μB/atom